A plane-wave DFT calculation with GGA-PBE was carried out for an optimized crystal structure of Hg3O2F2.

As for the offset from the most stable computed form: 13 meV/atom. The raw formation energy is -779.0 meV per atom. The total energy comes out at -40.03 eV for the cell shown.

The space group is C2/m (No. 12) and the conventional cell measures 12.2514, 3.9297 and 5.8564 Å, with angles of 90.00, 107.60 and 90.00 degrees. The inequivalent atoms are Hg at (0.0000, 0.0000, 0.0000), Hg at (0.2143, 0.5000, 0.7411), O at (0.1492, 0.0000, 0.9113) and F at (0.1376, 0.5000, 0.3596).